1.
A plane-wave DFT calculation with GGA-PBE was carried out for a relaxed structure of PrEuAl2.

abc: 3.758 3.758 7.587
angles: 90.00 90.00 90.00
Fractional positions:
Pr: 0.000 0.000 0.000
Eu: 0.000 0.000 0.500
Al: 0.500 0.500 0.247
Al: 0.500 0.500 0.753

Values from the calculation:
**ΔH_f (0 K)**: -6.26 kcal/mol of atoms
**ΔE to the lowest computed polymorph**: 0 meV per atom
**Density**: 5.4 g cm⁻³

2.
A plane-wave DFT calculation with GGA-PBE was carried out for a relaxed structure of Pr2EuAl.

abc: 5.026 5.026 4.821
angles: 90.00 90.00 90.00
Fractional positions:
Pr: 0.000 0.500 0.000
Pr: 0.500 0.000 0.000
Eu: 0.000 0.000 0.500
Al: 0.500 0.500 0.500

Values from the calculation:
**ΔH_f (0 K)**: -2.56 kcal/mol of atoms
**ΔE to the lowest computed polymorph**: 17 meV per atom
**Density**: 6.3 g cm⁻³

3.
A plane-wave DFT calculation with GGA-PBE was carried out for a relaxed structure of Pr2EuAl.

abc: 3.767 3.767 9.186
angles: 90.00 90.00 90.00
Fractional positions:
Pr: 0.000 0.000 0.199
Pr: 0.000 0.000 0.801
Eu: 0.500 0.500 0.500
Al: 0.500 0.500 0.000

Values from the calculation:
**ΔH_f (0 K)**: -2.96 kcal/mol of atoms
**ΔE to the lowest computed polymorph**: 0 meV per atom
**Density**: 5.9 g cm⁻³

4.
A plane-wave DFT calculation with GGA-PBE was carried out for a relaxed structure of PrSmEuAl.

abc: 5.525 5.525 5.525
angles: 60.00 60.00 60.00
Fractional positions:
Pr: 0.000 0.000 0.000
Sm: 0.500 0.500 0.500
Eu: 0.750 0.750 0.750
Al: 0.250 0.250 0.250

Values from the calculation:
**ΔH_f (0 K)**: -1.25 kcal/mol of atoms
**Density**: 6.5 g cm⁻³

5.
A plane-wave DFT calculation with GGA-PBE was carried out for a relaxed structure of PrEuAlSn.

abc: 5.430 5.430 5.430
angles: 60.00 60.00 60.00
Fractional positions:
Pr: 0.000 0.000 0.000
Eu: 0.500 0.500 0.500
Al: 0.250 0.250 0.250
Sn: 0.750 0.750 0.750

Values from the calculation:
**ΔH_f (0 K)**: -10.11 kcal/mol of atoms
**Density**: 6.4 g cm⁻³

6.
A plane-wave DFT calculation with GGA-PBE was carried out for a relaxed structure of TbPrEuAl.

abc: 5.495 5.495 5.495
angles: 60.00 60.00 60.00
Fractional positions:
Tb: 0.000 0.000 0.000
Pr: 0.500 0.500 0.500
Eu: 0.250 0.250 0.250
Al: 0.750 0.750 0.750

Values from the calculation:
**ΔH_f (0 K)**: -0.98 kcal/mol of atoms
**Density**: 6.8 g cm⁻³

7.
A plane-wave DFT calculation with GGA-PBE was carried out for a relaxed structure of PrEuTmAl.

abc: 5.464 5.464 5.464
angles: 60.00 60.00 60.00
Fractional positions:
Pr: 0.000 0.000 0.000
Eu: 0.250 0.250 0.250
Tm: 0.500 0.500 0.500
Al: 0.750 0.750 0.750

Values from the calculation:
**ΔH_f (0 K)**: -0.53 kcal/mol of atoms
**Density**: 7.0 g cm⁻³

8.
A plane-wave DFT calculation with GGA-PBE was carried out for a relaxed structure of PrEuYAl.

abc: 5.498 5.498 5.498
angles: 60.00 60.00 60.00
Fractional positions:
Pr: 0.000 0.000 0.000
Eu: 0.750 0.750 0.750
Y: 0.500 0.500 0.500
Al: 0.250 0.250 0.250

Values from the calculation:
**ΔH_f (0 K)**: -1.08 kcal/mol of atoms
**Density**: 5.8 g cm⁻³

> Number 1 is which compound?

PrEuAl2